No. 1
First-principles (PBE) data for a relaxed structure of Na3TiSn, as listed in Alexandria via LeMat-Bulk.

Summary:
Offset from the most stable computed form (meV per atom): 99
DOS at the Fermi energy (states/eV per cell): 7.9
ΔH_f (0 K) (eV/atom): 1.0537

a = 5.701 Å, b = 5.701 Å, c = 5.701 Å
α = 90.00°, β = 90.00°, γ = 90.00°
Sites, in units of the cell vectors:
Na: 0.000 0.000 0.500
Na: 0.000 0.500 0.000
Na: 0.500 0.000 0.000
Ti: 0.000 0.000 0.000
Sn: 0.500 0.500 0.500

No. 2
First-principles (PBE) data for a relaxed structure of NaTi2Sn2, as listed in Alexandria via LeMat-Bulk.

Summary:
Offset from the most stable computed form (meV per atom): 206
DOS at the Fermi energy (states/eV per cell): 5.7
ΔH_f (0 K) (eV/atom): 0.0443

a = 7.187 Å, b = 7.187 Å, c = 7.187 Å
α = 144.87°, β = 144.87°, γ = 50.53°
Sites, in units of the cell vectors:
Na: 0.000 0.000 0.000
Ti: 0.250 0.750 0.500
Ti: 0.750 0.250 0.500
Sn: 0.389 0.389 0.000
Sn: 0.611 0.611 0.000